Entry 1:
This record from Alexandria describes a relaxed structure of Ho3Ge13Ru4. The functional is GGA-PBEsol.

Results
Raw total energy = -258.96 eV for the cell shown
Symmetry = Pm-3n, No. 223

abc: 8.898 8.898 8.898
angles: 90.00 90.00 90.00
Sites, in units of the cell vectors:
Ge1 0.853 0.698 0.000
Ge2 0.353 0.500 0.802
Ge3 0.500 0.802 0.647
Ge4 0.147 0.698 0.000
Ge5 0.500 0.198 0.647
Ru1 0.750 0.750 0.750
Ru2 0.250 0.250 0.250
Ge6 0.853 0.302 0.000
Ho1 0.250 0.000 0.500
Ge7 0.198 0.647 0.500
Ge8 0.698 0.000 0.853
Ru3 0.250 0.750 0.250
Ru4 0.750 0.250 0.250
Ge9 0.147 0.302 0.000
Ge10 0.000 0.147 0.302
Ho2 0.000 0.500 0.750
Ho3 0.500 0.750 0.000
Ge11 0.000 0.853 0.302
Ge12 0.302 0.000 0.147
Ge13 0.000 0.853 0.698
Ge14 0.647 0.500 0.802
Ho4 0.500 0.250 0.000
Ge15 0.500 0.802 0.353
Ge16 0.353 0.500 0.198
Ge17 0.500 0.198 0.353
Ge18 0.000 0.000 0.000
Ge19 0.802 0.647 0.500
Ge20 0.802 0.353 0.500
Ho5 0.750 0.000 0.500
Ge21 0.698 0.000 0.147
Ge22 0.000 0.147 0.698
Ge23 0.198 0.353 0.500
Ru5 0.750 0.250 0.750
Ge24 0.647 0.500 0.198
Ge25 0.302 0.000 0.853
Ru6 0.750 0.750 0.250
Ru7 0.250 0.750 0.750
Ru8 0.250 0.250 0.750
Ho6 0.000 0.500 0.250
Ge26 0.500 0.500 0.500

***

Entry 2:
This record from Alexandria describes a relaxed structure of SiTcAg2. The functional is GGA-PBEsol.

Results
ΔE_f (raw) = 156 kJ/mol of formula units
Symmetry = Pmmm, No. 47

abc: 2.677 4.299 5.279
angles: 90.00 90.00 90.00
Sites, in units of the cell vectors:
Si1 0.500 0.500 0.000
Tc1 0.500 0.500 0.500
Ag1 0.000 0.000 0.748
Ag2 0.000 0.000 0.252

***

Entry 3:
This record from Alexandria describes a relaxed structure of InRh2Pb. The functional is GGA-PBEsol.

Results
Raw total energy = -23.25 eV for the cell shown
Symmetry = I-4m2, No. 119

abc: 3.834 3.834 5.490
angles: 110.44 110.44 90.00
Sites, in units of the cell vectors:
Pb1 0.250 0.750 0.500
Rh1 0.000 0.000 0.000
In1 0.500 0.500 0.000
Rh2 0.750 0.250 0.500

***

Entry 4:
This record from Alexandria describes a relaxed structure of CaRe2Ir. The functional is GGA-PBEsol.

Results
E above lowest polymorph = 233 meV/atom
Symmetry = Pmmm, No. 47

abc: 3.024 4.427 4.776
angles: 90.00 90.00 90.00
Sites, in units of the cell vectors:
Ca1 0.500 0.000 0.500
Re1 0.500 0.500 0.000
Re2 0.000 0.000 0.000
Ir1 0.000 0.500 0.500

***

Entry 5:
This record from Alexandria describes a relaxed structure of IrPtSe2. The functional is GGA-PBEsol.

Results
ΔE_f (raw) = 91 kJ/mol of formula units
Symmetry = Pmmm, No. 47

abc: 2.748 3.509 7.257
angles: 90.00 90.00 90.00
Sites, in units of the cell vectors:
Ir1 0.000 0.500 0.500
Se1 0.000 0.000 0.741
Se2 0.000 0.000 0.259
Pt1 0.000 0.500 0.000

***

Entry 6:
This record from Alexandria describes a relaxed structure of TlInRu3. The functional is GGA-PBEsol.

Results
Raw total energy = -26.08 eV for the cell shown
Symmetry = Pm-3m, No. 221

abc: 4.804 4.804 4.804
angles: 90.00 90.00 90.00
Each line ends with the local moment (μB).
Sites, in units of the cell vectors:
Ru1 0.000 0.000 0.500  1.36
Tl1 0.500 0.500 0.500  -0.04
Ru2 0.500 0.000 0.000  1.36
In1 0.000 0.000 0.000  -0.06
Ru3 0.000 0.500 0.000  1.36

***

Entry 7:
This record from Alexandria describes a relaxed structure of KScPt2. The functional is GGA-PBEsol.

Results
Raw total energy = -22.86 eV for the cell shown
Symmetry = R-3m, No. 166

abc: 3.543 3.543 8.452
angles: 77.90 77.90 60.00
Sites, in units of the cell vectors:
Sc1 0.500 0.500 0.500
Pt1 0.233 0.233 0.300
K1 0.000 0.000 0.000
Pt2 0.767 0.767 0.700

***

Entry 8:
This record from Alexandria describes a relaxed structure of NbPt3S. The functional is GGA-PBEsol.

Results
ΔE_f (raw) = 225 kJ/mol of formula units
Symmetry = Pm-3m, No. 221

abc: 4.438 4.438 4.438
angles: 90.00 90.00 90.00
Each line ends with the local moment (μB).
Sites, in units of the cell vectors:
Pt1 0.000 0.500 0.000  0.06
Nb1 0.500 0.500 0.500  1.51
Pt2 0.500 0.000 0.000  0.06
S1 0.000 0.000 0.000  0.02
Pt3 0.000 0.000 0.500  0.06

***

Entry 9:
This record from Alexandria describes a relaxed structure of BeCoAu2. The functional is GGA-PBEsol.

Results
Raw total energy = -19.64 eV for the cell shown
Symmetry = P4mm, No. 99

abc: 2.772 2.772 6.716
angles: 90.00 90.00 90.00
Each line ends with the local moment (μB).
Sites, in units of the cell vectors:
Au1 0.500 0.500 0.300  -0.01
Be1 0.000 0.000 0.533  -0.03
Co1 0.500 0.500 0.700  0.87
Au2 0.000 0.000 0.968  0.04

***

Entry 10:
This record from Alexandria describes a relaxed structure of Fe4CuMo. The functional is GGA-PBEsol.

Results
Raw total energy = -51.49 eV for the cell shown
Symmetry = F-43m, No. 216

abc: 4.599 4.599 4.599
angles: 60.00 60.00 60.00
Each line ends with the local moment (μB).
Sites, in units of the cell vectors:
Fe1 0.877 0.374 0.374  1.53
Cu1 0.000 0.000 0.000  0.03
Fe2 0.374 0.374 0.374  1.53
Fe3 0.374 0.374 0.877  1.53
Fe4 0.374 0.877 0.374  1.53
Mo1 0.750 0.750 0.750  -0.67

***

Entry 11:
This record from Alexandria describes a relaxed structure of Sc5Pb. The functional is GGA-PBEsol.

Results
Raw total energy = -38.11 eV for the cell shown
Symmetry = Cm, No. 8

abc: 3.288 6.050 7.524
angles: 104.14 90.00 105.77
Sites, in units of the cell vectors:
Sc1 0.336 0.672 0.672
Sc2 0.712 0.423 0.944
Sc3 0.388 0.776 0.276
Sc4 0.063 0.127 0.607
Pb1 0.995 0.991 0.998
Sc5 0.672 0.344 0.336

***

Entry 12:
This record from Alexandria describes a relaxed structure of La2ScCu2. The functional is GGA-PBEsol.

Results
Raw total energy = -52.62 eV for the cell shown
Symmetry = P4/mbm, No. 127

abc: 3.823 7.807 7.807
angles: 90.00 90.00 90.00
Sites, in units of the cell vectors:
Cu1 0.000 0.883 0.617
La1 0.500 0.320 0.180
Cu2 0.000 0.617 0.117
Sc1 0.000 0.000 0.000
Cu3 0.000 0.117 0.383
La2 0.500 0.820 0.320
Cu4 0.000 0.383 0.883
La3 0.500 0.680 0.820
Sc2 0.000 0.500 0.500
La4 0.500 0.180 0.680

***

Q: Which total magnetic moment values were calculated for the entries above? A: 0.0 0.0 0.0 0.0 0.0 4.0 0.0 2.1 0.8 5.4 0.0 0.0, in Bohr magnetons per cell.